{"formula": "CrRu", "functional": "PBE", "state": "optimized geometry", "cell": [[-4.7290, -5.5417, 0.6357], [2.2143, -1.1000, 6.8823], [-5.1198, 4.6430, 2.3893]], "species": ["Cr", "Cr", "Cr", "Cr", "Cr", "Cr", "Cr", "Cr", "Ru", "Ru", "Ru", "Ru", "Ru", "Ru", "Ru", "Ru"], "fractional_positions": [[0.1885, 0.1885, 0.1885], [0.1885, 0.8115, 0.8115], [0.8115, 0.1885, 0.8115], [0.8115, 0.8115, 0.1885], [0.6885, 0.6885, 0.6885], [0.6885, 0.3115, 0.3115], [0.3115, 0.6885, 0.3115], [0.3115, 0.3115, 0.6885], [0.3627, 0.3627, 0.3627], [0.3627, 0.6373, 0.6373], [0.6373, 0.3627, 0.6373], [0.6373, 0.6373, 0.3627], [0.8627, 0.8627, 0.8627], [0.8627, 0.1373, 0.1373], [0.1373, 0.8627, 0.1373], [0.1373, 0.1373, 0.8627]], "e_tot_ev_per_cell": -127.1, "vol_a3_per_cell": 391, "formation_enthalpy_0k_ev_per_atom": 1.5065, "space_group": "No. 217"}

=====

{"formula": "Cr3Ru", "functional": "PBE", "state": "optimized geometry", "cell": [[-0.3324, -1.9531, 1.6266], [2.0363, -0.3542, -1.5163], [4.7100, 3.7391, 5.4519]], "species": ["Cr", "Cr", "Cr", "Ru"], "fractional_positions": [[0.5000, 0.5000, 0.7377], [0.0000, 0.0000, 0.5000], [0.5000, 0.5000, 0.2623], [0.0000, 0.0000, 0.0000]], "e_tot_ev_per_cell": -37.5, "vol_a3_per_cell": 49, "formation_enthalpy_0k_ev_per_atom": 0.1645, "space_group": "No. 65"}

=====

{"formula": "Cr7Ru", "functional": "PBE", "state": "optimized geometry", "cell": [[1.8472, -3.2060, 3.6054], [-3.2454, -2.8860, 2.7978], [-0.2042, -5.1092, -0.7374]], "species": ["Cr", "Cr", "Cr", "Cr", "Cr", "Cr", "Cr", "Ru"], "fractional_positions": [[0.5000, 0.0000, 0.0000], [0.0000, 0.0000, 0.5000], [0.5000, 0.0000, 0.5000], [0.0000, 0.5000, 0.0000], [0.5000, 0.5000, 0.0000], [0.0000, 0.5000, 0.5000], [0.5000, 0.5000, 0.5000], [0.0000, 0.0000, 0.0000]], "e_tot_ev_per_cell": -74.1, "vol_a3_per_cell": 97, "formation_enthalpy_0k_ev_per_atom": 0.3140, "space_group": "No. 225"}

=====

{"formula": "Cr2Ru", "functional": "PBE", "state": "optimized geometry", "cell": [[1.3142, -4.3290, 1.8672], [1.3688, -4.6295, -0.8051], [6.3014, -0.1660, 0.1474]], "species": ["Cr", "Cr", "Cr", "Cr", "Ru", "Ru"], "fractional_positions": [[0.0191, 0.0191, 0.6975], [0.6301, 0.6301, 0.9794], [0.3699, 0.3699, 0.0206], [0.9809, 0.9809, 0.3025], [0.6965, 0.6965, 0.3582], [0.3035, 0.3035, 0.6418]], "e_tot_ev_per_cell": -55.9, "vol_a3_per_cell": 76, "formation_enthalpy_0k_ev_per_atom": 0.1965, "space_group": "No. 12"}

=====

{"formula": "CrRu5", "functional": "PBE", "state": "optimized geometry", "cell": [[2.7101, 0.0000, 0.0000], [-1.3550, 4.8741, 0.0033], [0.0000, 1.5050, 6.1646]], "species": ["Cr", "Ru", "Ru", "Ru", "Ru", "Ru"], "fractional_positions": [[0.9991, 0.9982, 0.0018], [0.3903, 0.7807, 0.7279], [0.6657, 0.3314, 0.6697], [0.0557, 0.1113, 0.3858], [0.3354, 0.6708, 0.3281], [0.7204, 0.4409, 0.0533]], "e_tot_ev_per_cell": -56.0, "vol_a3_per_cell": 81, "formation_enthalpy_0k_ev_per_atom": 0.0017, "space_group": "No. 8"}

=====

{"formula": "CrRu5", "functional": "PBE", "state": "optimized geometry", "cell": [[0.0000, 3.5593, 3.5593], [3.5593, 0.0000, 3.5593], [3.5593, 3.5593, 0.0000]], "species": ["Cr", "Ru", "Ru", "Ru", "Ru", "Ru"], "fractional_positions": [[0.0000, 0.0000, 0.0000], [0.6250, 0.6250, 0.1249], [0.2500, 0.2500, 0.2500], [0.6250, 0.6250, 0.6250], [0.1249, 0.6250, 0.6250], [0.6250, 0.1249, 0.6250]], "e_tot_ev_per_cell": -52.4, "vol_a3_per_cell": 90, "formation_enthalpy_0k_ev_per_atom": 0.5951, "space_group": "No. 216"}